# 1
A plane-wave DFT calculation with PBE was carried out for an optimized crystal structure of ZrVSb.

Calculated values
Total DFT energy (no corrections) ... -6.84 eV per atom
Total magnetic moment ... 1.0 μB/f.u.
Volume ... 23.53 Å³ per atom

a = 3.0491 Å, b = 3.0491 Å, c = 7.8943 Å
α = 101.13°, β = 101.13°, γ = 90.00°
Fractional positions:
Sb  0.6102  0.6102  0.2204
Zr  0.8069  0.8069  0.6139
V  0.4329  0.4329  0.8657



# 2
A plane-wave DFT calculation with PBE was carried out for an optimized crystal structure of ZrVSb2.

Calculated values
Excess energy over the best structure of this formula in the dataset ... 541 meV/atom
Total DFT energy (no corrections) ... -6.13 eV per atom
Total magnetic moment ... 3.0 μB/f.u.
Volume ... 32.75 Å³ per atom

a = 6.2870 Å, b = 6.2870 Å, c = 7.9810 Å
α = 66.80°, β = 66.80°, γ = 90.00°
Fractional positions:
Sb  0.6060  0.1250  0.2500
Sb  0.1440  0.6250  0.2500
Sb  0.3750  0.3940  0.7500
Sb  0.8750  0.8560  0.7500
Zr  0.0000  0.0000  0.0000
Zr  0.7500  0.2500  0.5000
V  0.5000  0.5000  0.0000
V  0.2500  0.7500  0.5000



# 3
A plane-wave DFT calculation with PBE was carried out for an optimized crystal structure of ZrVSb3.

Calculated values
Excess energy over the best structure of this formula in the dataset ... 0 meV/atom
Total DFT energy (no corrections) ... -5.48 eV per atom
Total magnetic moment ... 2.1 μB/f.u.
Volume ... 26.69 Å³ per atom

a = 5.1101 Å, b = 5.1101 Å, c = 5.1101 Å
α = 90.00°, β = 90.00°, γ = 90.00°
Fractional positions:
Sb  0.0000  0.5000  0.0000
Sb  0.0000  0.0000  0.5000
Sb  0.5000  0.0000  0.0000
Zr  0.5000  0.5000  0.5000
V  0.0000  0.0000  0.0000



# 4
A plane-wave DFT calculation with PBE was carried out for an optimized crystal structure of ZrV4Sb.

Calculated values
Total DFT energy (no corrections) ... -8.18 eV per atom
Total magnetic moment ... 0.0 μB/f.u.
Volume ... 16.19 Å³ per atom

a = 5.1601 Å, b = 5.1601 Å, c = 5.1601 Å
α = 60.00°, β = 60.00°, γ = 60.00°
Fractional positions:
Sb  0.0000  0.0000  0.0000
Zr  0.2500  0.2500  0.2500
V  0.6228  0.6228  0.1315
V  0.6228  0.1315  0.6228
V  0.6228  0.6228  0.6228
V  0.1315  0.6228  0.6228



# 5
A plane-wave DFT calculation with PBE was carried out for an optimized crystal structure of ZrVSb.

Calculated values
Total DFT energy (no corrections) ... -7.44 eV per atom
Total magnetic moment ... 0.0 μB/f.u.
Volume ... 19.35 Å³ per atom

a = 5.1084 Å, b = 5.0660 Å, c = 5.1613 Å
α = 90.00°, β = 119.65°, γ = 90.00°
Fractional positions:
V  0.2499  0.0000  0.6002
V  0.1025  0.5000  0.3056
Zr  0.5905  0.0000  0.2812
Zr  0.7620  0.5000  0.6246
Sb  0.9303  0.0000  0.9607
Sb  0.4221  0.5000  0.9451



# 6
A plane-wave DFT calculation with PBE was carried out for an optimized crystal structure of SbW2.

Calculated values
Excess energy over the best structure of this formula in the dataset ... 423 meV/atom
Total DFT energy (no corrections) ... -9.13 eV per atom
Total magnetic moment ... 0.0 μB/f.u.
Volume ... 17.79 Å³ per atom

a = 4.7550 Å, b = 4.7550 Å, c = 5.4520 Å
α = 90.00°, β = 90.00°, γ = 120.00°
Fractional positions:
Sb  0.3333  0.6667  0.2500
Sb  0.6667  0.3333  0.7500
W  0.0000  0.0000  0.0000
W  0.0000  0.0000  0.5000
W  0.3333  0.6667  0.7500
W  0.6667  0.3333  0.2500